{
  "formula": "MnPIO2",
  "functional": "PBE+U",
  "state": "optimized geometry",
  "cell": [[-2.976, 2.404, -0.012], [-2.046, -2.522, 2.022], [1.864, 2.333, 4.795]],
  "species": ["I", "P", "Mn", "O", "O"],
  "fractional_positions": [[0.500, 0.500, 0.500], [0.000, 0.000, 0.500], [0.000, 0.000, 0.000], [0.000, 0.500, 0.000], [0.500, 0.000, 0.000]],
  "e_tot_ev_per_cell": -25.078,
  "mass_density_g_cm3": 4.92,
  "relative_energy_mev_per_atom": 0
}